Er2PaMoO8: relaxed, PBE+U.

Unit cell a=5.0001 b=6.8141 c=5.0013 alpha=90.00 beta=91.44 gamma=90.00
Closest atoms and distances in Å follow each position.
Space group P2/m (No. 10)
Symmetry-distinct sites (fractional):
Er  0.0000  0.2443  0.0000 (multiplicity 2)  6 O 2.22-2.28
Pa  0.5000  0.5000  0.5000 (multiplicity 1)  6 O 2.12-2.24
Mo  0.5000  0.0000  0.5000 (multiplicity 1)  6 O 1.93-2.08
O  0.1973  0.5000  0.1958 (multiplicity 2)  1 Pa 2.12, 2 Er 2.22
O  0.2245  0.0000  0.2231 (multiplicity 2)  1 Mo 1.93
O  0.3141  0.2351  0.6845 (multiplicity 4)  1 Mo 2.08, 1 Pa 2.24, 1 Er 2.25

Summary:
Fermi-level density of states (states/eV per atom): 0.00
Raw total energy (eV/atom): -8.5073